{
  "formula": "NbTcSe3",
  "functional": "SCAN",
  "state": "single point on PBEsol structure",
  "cell": [[4.7609, 0.0000, 0.0000], [0.0000, 4.7609, 0.0000], [0.0000, 0.0000, 4.7609]],
  "species": ["Nb", "Tc", "Se", "Se", "Se"],
  "fractional_positions": [[0.0000, 0.0000, 0.0000], [0.5000, 0.5000, 0.5000], [0.0000, 0.5000, 0.5000], [0.5000, 0.0000, 0.5000], [0.5000, 0.5000, 0.0000]],
  "crystal_system": "cubic",
  "sg": "Pm-3m (221)",
  "dft_energy_ev_per_cell": -125.3
}

{
  "formula": "NbTeSe3",
  "functional": "SCAN",
  "state": "single point on PBEsol structure",
  "cell": [[4.9814, 0.0000, 0.0000], [0.0000, 4.9814, 0.0000], [0.0000, 0.0000, 4.9814]],
  "species": ["Nb", "Te", "Se", "Se", "Se"],
  "fractional_positions": [[0.0000, 0.0000, 0.0000], [0.5000, 0.5000, 0.5000], [0.0000, 0.0000, 0.5000], [0.0000, 0.5000, 0.0000], [0.5000, 0.0000, 0.0000]],
  "crystal_system": "cubic",
  "sg": "Pm-3m (221)",
  "dft_energy_ev_per_cell": -130.4
}

{
  "formula": "TiNb2TeSe",
  "functional": "SCAN",
  "state": "single point on PBEsol structure",
  "cell": [[4.6797, 0.0000, 0.0000], [0.0000, 4.6797, 0.0000], [0.0000, 0.0000, 5.3945]],
  "species": ["Ti", "Nb", "Nb", "Te", "Se"],
  "fractional_positions": [[0.0000, 0.0000, 0.0000], [0.0000, 0.5000, 0.5000], [0.5000, 0.0000, 0.5000], [0.5000, 0.5000, 0.0000], [0.5000, 0.5000, 0.5000]],
  "crystal_system": "tetragonal",
  "sg": "P4/mmm (123)",
  "dft_energy_ev_per_cell": -134.9
}

{
  "formula": "TiNb3Se6",
  "functional": "SCAN",
  "state": "single point on PBEsol structure",
  "cell": [[5.9645, 0.0000, 0.0000], [-2.9823, 5.1654, 0.0000], [0.0000, 0.0000, 12.8725]],
  "species": ["Ti", "Ti", "Nb", "Nb", "Nb", "Nb", "Nb", "Nb", "Se", "Se", "Se", "Se", "Se", "Se", "Se", "Se", "Se", "Se", "Se", "Se"],
  "fractional_positions": [[0.3333, 0.6667, 0.2500], [0.6667, 0.3333, 0.7500], [0.0000, 0.0000, 0.0000], [0.0000, 0.0000, 0.5000], [0.3333, 0.6667, 0.0004], [0.3333, 0.6667, 0.4996], [0.6667, 0.3333, 0.9996], [0.6667, 0.3333, 0.5004], [0.0055, 0.3336, 0.8697], [0.0055, 0.6719, 0.6303], [0.3281, 0.3336, 0.6303], [0.3281, 0.9945, 0.8697], [0.3336, 0.0055, 0.1303], [0.3336, 0.3281, 0.3697], [0.6664, 0.6719, 0.8697], [0.6664, 0.9945, 0.6303], [0.6719, 0.0055, 0.3697], [0.6719, 0.6664, 0.1303], [0.9945, 0.3281, 0.1303], [0.9945, 0.6664, 0.3697]],
  "crystal_system": "hexagonal",
  "sg": "P6_322 (182)",
  "dft_energy_ev_per_cell": -493.5
}

{
  "formula": "TiNb3Se",
  "functional": "SCAN",
  "state": "single point on PBEsol structure",
  "cell": [[4.6875, 0.0000, 0.0000], [0.0000, 4.6875, 0.0000], [0.0000, 0.0000, 4.6875]],
  "species": ["Ti", "Nb", "Nb", "Nb", "Se"],
  "fractional_positions": [[0.0000, 0.0000, 0.0000], [0.0000, 0.5000, 0.5000], [0.5000, 0.0000, 0.5000], [0.5000, 0.5000, 0.0000], [0.5000, 0.5000, 0.5000]],
  "crystal_system": "cubic",
  "sg": "Pm-3m (221)",
  "dft_energy_ev_per_cell": -132.6
}

{
  "formula": "Nb9TlSe12",
  "functional": "SCAN",
  "state": "single point on PBEsol structure",
  "cell": [[8.6642, 5.0023, 3.4544], [-8.6642, 5.0023, 3.4544], [0.0000, -10.0046, 3.4544]],
  "species": ["Nb", "Nb", "Nb", "Nb", "Nb", "Nb", "Nb", "Nb", "Nb", "Nb", "Nb", "Nb", "Nb", "Nb", "Nb", "Nb", "Nb", "Nb", "Tl", "Tl", "Se", "Se", "Se", "Se", "Se", "Se", "Se", "Se", "Se", "Se", "Se", "Se", "Se", "Se", "Se", "Se", "Se", "Se", "Se", "Se", "Se", "Se", "Se", "Se"],
  "fractional_positions": [[0.0517, 0.5394, 0.1603], [0.1269, 0.5073, 0.6152], [0.1603, 0.0517, 0.5394], [0.1743, 0.2823, 0.7953], [0.2047, 0.8257, 0.7177], [0.2823, 0.7953, 0.1743], [0.3848, 0.8731, 0.4927], [0.4606, 0.8397, 0.9483], [0.4927, 0.3848, 0.8731], [0.5073, 0.6152, 0.1269], [0.5394, 0.1603, 0.0517], [0.6152, 0.1269, 0.5073], [0.7177, 0.2047, 0.8257], [0.7953, 0.1743, 0.2823], [0.8257, 0.7177, 0.2047], [0.8397, 0.9483, 0.4606], [0.8731, 0.4927, 0.3848], [0.9483, 0.4606, 0.8397], [0.0000, 0.0000, 0.0000], [0.5000, 0.5000, 0.5000], [0.0112, 0.2904, 0.9508], [0.0452, 0.3832, 0.3228], [0.0492, 0.9888, 0.7096], [0.0833, 0.7502, 0.4165], [0.2498, 0.5835, 0.9167], [0.2826, 0.3435, 0.6227], [0.2904, 0.9508, 0.0112], [0.3228, 0.0452, 0.3832], [0.3435, 0.6227, 0.2826], [0.3773, 0.7174, 0.6565], [0.3832, 0.3228, 0.0452], [0.4165, 0.0833, 0.7502], [0.5835, 0.9167, 0.2498], [0.6168, 0.6772, 0.9548], [0.6227, 0.2826, 0.3435], [0.6565, 0.3773, 0.7174], [0.6772, 0.9548, 0.6168], [0.7096, 0.0492, 0.9888], [0.7174, 0.6565, 0.3773], [0.7502, 0.4165, 0.0833], [0.9167, 0.2498, 0.5835], [0.9508, 0.0112, 0.2904], [0.9548, 0.6168, 0.6772], [0.9888, 0.7096, 0.0492]],
  "crystal_system": "trigonal",
  "sg": "R-3 (148)",
  "dft_energy_ev_per_cell": -1264.0
}